Computed, not measured: Cs2RhBr7 after structural relaxation at the PBE-GGA level of DFT.

The space group is I4/mmm (No. 139) and the conventional cell measures 7.784, 7.784 and 11.970 Å, with angles of 90.00, 90.00 and 90.00 degrees. Symmetry generates all atoms from Cs at (0.000, 0.500, 0.250), Rh at (0.000, 0.000, 0.000), Br at (0.000, 0.000, 0.208), Br at (0.000, 0.000, 0.500) and Br at (0.231, 0.231, 0.000).

The value obtained for the uncorrected formation energy is -0.811 eV per atom. As for the crystal system: tetragonal. Its total moment is 1.0 μB per formula unit. For the total energy, the calculation gives -2.888 eV/atom.



Computed, not measured: Cs2RhBr5 after structural relaxation at the PBE-GGA level of DFT.

The space group is I4mm (No. 107) and the conventional cell measures 7.976, 7.976 and 10.166 Å, with angles of 90.00, 90.00 and 90.00 degrees. Symmetry generates all atoms from Cs at (0.000, 0.500, 0.000), Rh at (0.000, 0.000, 0.232), Br at (0.000, 0.000, 0.996) and Br at (0.221, 0.221, 0.250).

The value obtained for the uncorrected formation energy is -1.062 eV per atom. As for the crystal system: tetragonal. Its total moment is 0.0 μB per formula unit. For the total energy, the calculation gives -3.240 eV/atom.